(1)
First-principles (PBE) data for a geometry-optimized Ga2ReNi structure, as listed in OQMD.

It has space group Ama2 (No. 40), with a = 4.484 Å, b = 9.468 Å, c = 5.249 Å, α = 90.00°, β = 90.00° and γ = 90.00°. The distinct sites, in fractional coordinates, are Ga at (0.250, 0.081, 0.000), Ga at (0.250, 0.319, 0.239), Re at (0.250, 0.065, 0.497) and Ni at (0.250, 0.325, 0.716).

For the energy, the calculation gives -96.996 eV/cell. The distance to the lowest polymorph of the same formula comes out at 0.0 meV/atom. As for the total magnetization: 0.00 Bohr magnetons per cell.



(2)
First-principles (PBE) data for a geometry-optimized Ga2ReNi structure, as listed in OQMD.

It has space group Amm2 (No. 38), with a = 4.308 Å, b = 5.420 Å, c = 9.508 Å, α = 90.00°, β = 90.00° and γ = 90.00°. The distinct sites, in fractional coordinates, are Ga at (0.000, 0.000, 0.000), Ga at (0.000, 0.236, 0.250), Ga at (0.500, 0.000, 0.648), Re at (0.500, 0.239, 0.905), Ni at (0.000, 0.000, 0.503) and Ni at (0.500, 0.000, 0.160).

For the energy, the calculation gives -96.216 eV/cell. The distance to the lowest polymorph of the same formula comes out at 48.8 meV/atom. As for the total magnetization: 0.01 Bohr magnetons per cell.



(3)
First-principles (PBE) data for a geometry-optimized Ga2ReNi structure, as listed in OQMD.

It has space group F-43m (No. 216), with a = 6.054 Å, b = 6.054 Å, c = 6.054 Å, α = 90.00°, β = 90.00° and γ = 90.00°. The distinct sites, in fractional coordinates, are Ga at (0.000, 0.000, 0.000), Ga at (0.250, 0.250, 0.250), Re at (0.000, 0.000, 0.500) and Ni at (0.250, 0.250, 0.750).

For the energy, the calculation gives -91.416 eV/cell. The distance to the lowest polymorph of the same formula comes out at 348.8 meV/atom. As for the total magnetization: 0.00 Bohr magnetons per cell.



(4)
First-principles (PBE) data for a geometry-optimized Ga3Re3Ni2 structure, as listed in OQMD.

It has space group P-6m2 (No. 187), with a = 5.4351 Å, b = 5.4351 Å, c = 4.2887 Å, α = 90.00°, β = 90.00° and γ = 120.00°. The distinct sites, in fractional coordinates, are Ga at (0.1715, 0.3430, 0.0000), Re at (0.3355, 0.1678, 0.5000), Ni at (0.3333, 0.6667, 0.5000) and Ni at (0.6667, 0.3333, 0.0000).

For the energy, the calculation gives -57.521 eV/cell. The distance to the lowest polymorph of the same formula comes out at 5.1 meV/atom. As for the total magnetization: 0.20 Bohr magnetons per cell.



(5)
First-principles (PBE) data for a geometry-optimized Ga3Re3Ni2 structure, as listed in OQMD.

It has space group Amm2 (No. 38), with a = 4.407 Å, b = 5.447 Å, c = 9.154 Å, α = 90.00°, β = 90.00° and γ = 90.00°. The distinct sites, in fractional coordinates, are Ga at (0.000, 0.000, 0.000), Ga at (0.500, 0.235, 0.586), Re at (0.000, 0.249, 0.753), Re at (0.500, 0.000, 0.332), Ni at (0.000, 0.000, 0.503) and Ni at (0.500, 0.000, 0.851).

For the energy, the calculation gives -115.124 eV/cell. The distance to the lowest polymorph of the same formula comes out at 0.0 meV/atom. As for the total magnetization: 0.01 Bohr magnetons per cell.



(6)
First-principles (PBE) data for a geometry-optimized Ga2ReNi structure, as listed in OQMD.

It has space group Cmcm (No. 63), with a = 5.732 Å, b = 8.729 Å, c = 4.313 Å, α = 90.00°, β = 90.00° and γ = 90.00°. The distinct sites, in fractional coordinates, are Ga at (0.237, 0.110, 0.250), Re at (0.000, 0.367, 0.250) and Ni at (0.000, 0.154, 0.750).

For the energy, the calculation gives -96.548 eV/cell. The distance to the lowest polymorph of the same formula comes out at 28.0 meV/atom. As for the total magnetization: 0.00 Bohr magnetons per cell.



(7)
First-principles (PBE) data for a geometry-optimized GaRe5Ni2 structure, as listed in OQMD.

It has space group Amm2 (No. 38), with a = 4.371 Å, b = 5.336 Å, c = 9.429 Å, α = 90.00°, β = 90.00° and γ = 90.00°. The distinct sites, in fractional coordinates, are Ga at (0.000, 0.000, 0.000), Re at (0.000, 0.246, 0.755), Re at (0.500, 0.000, 0.347), Re at (0.500, 0.243, 0.094), Ni at (0.000, 0.000, 0.505) and Ni at (0.500, 0.000, 0.839).

For the energy, the calculation gives -152.411 eV/cell. As for the total magnetization: 0.01 Bohr magnetons per cell.



(8)
First-principles (PBE) data for a geometry-optimized Ga3Re3Ni2 structure, as listed in OQMD.

It has space group Pm (No. 6), with a = 5.272 Å, b = 4.341 Å, c = 5.312 Å, α = 90.00°, β = 114.70° and γ = 90.00°. The distinct sites, in fractional coordinates, are Ga at (0.000, 0.000, 0.000), Ga at (0.173, 0.500, 0.756), Ga at (0.630, 0.500, 0.229), Re at (0.470, 0.000, 0.472), Re at (0.664, 0.500, 0.740), Re at (0.945, 0.000, 0.474), Ni at (0.125, 0.500, 0.267) and Ni at (0.466, 0.000, 0.957).

For the energy, the calculation gives -57.338 eV/cell. The distance to the lowest polymorph of the same formula comes out at 28.0 meV/atom. As for the total magnetization: 0.00 Bohr magnetons per cell.



(9)
First-principles (PBE) data for a geometry-optimized GaReNi6 structure, as listed in OQMD.

It has space group P-6m2 (No. 187), with a = 5.0539 Å, b = 5.0539 Å, c = 4.1847 Å, α = 90.00°, β = 90.00° and γ = 120.00°. The distinct sites, in fractional coordinates, are Ga at (0.0000, 0.0000, 0.0000), Re at (0.3333, 0.6667, 0.5000), Ni at (0.0033, 0.5016, 0.0000) and Ni at (0.3391, 0.1696, 0.5000).

For the energy, the calculation gives -49.907 eV/cell. As for the total magnetization: 0.00 Bohr magnetons per cell.



(10)
First-principles (PBE) data for a geometry-optimized Ga5ReNi2 structure, as listed in OQMD.

It has space group Amm2 (No. 38), with a = 4.384 Å, b = 5.479 Å, c = 9.349 Å, α = 90.00°, β = 90.00° and γ = 90.00°. The distinct sites, in fractional coordinates, are Ga at (0.000, 0.000, 0.000), Ga at (0.000, 0.244, 0.264), Ga at (0.500, 0.242, 0.584), Re at (0.500, 0.000, 0.331), Ni at (0.000, 0.000, 0.521) and Ni at (0.500, 0.000, 0.851).

For the energy, the calculation gives -77.897 eV/cell. As for the total magnetization: 0.00 Bohr magnetons per cell.



(11)
First-principles (PBE) data for a geometry-optimized TaGaReNi structure, as listed in OQMD.

It has space group F-43m (No. 216), with a = 6.204 Å, b = 6.204 Å, c = 6.204 Å, α = 90.00°, β = 90.00° and γ = 90.00°. The distinct sites, in fractional coordinates, are Ta at (0.000, 0.000, 0.000), Ga at (0.250, 0.250, 0.250), Re at (0.250, 0.250, 0.750) and Ni at (0.000, 0.000, 0.500).

For the energy, the calculation gives -129.194 eV/cell. As for the total magnetization: 0.02 Bohr magnetons per cell.



(12)
First-principles (PBE) data for a geometry-optimized GaReTcNi structure, as listed in OQMD.

It has space group F-43m (No. 216), with a = 6.036 Å, b = 6.036 Å, c = 6.036 Å, α = 90.00°, β = 90.00° and γ = 90.00°. The distinct sites, in fractional coordinates, are Ga at (0.000, 0.000, 0.000), Re at (0.000, 0.000, 0.500), Tc at (0.250, 0.250, 0.750) and Ni at (0.250, 0.250, 0.250).

For the energy, the calculation gives -124.721 eV/cell. As for the total magnetization: 0.60 Bohr magnetons per cell.



(13)
First-principles (PBE) data for a geometry-optimized Ga2NiS4 structure, as listed in OQMD.

It has space group P4_122 (No. 91), with a = 7.085 Å, b = 7.085 Å, c = 10.075 Å, α = 90.00°, β = 90.00° and γ = 90.00°. The distinct sites, in fractional coordinates, are Ga at (0.000, 0.260, 0.000), Ga at (0.251, 0.251, 0.375), Ni at (0.256, 0.500, 0.750), S at (0.023, 0.256, 0.756) and S at (0.257, 0.485, 0.988).

For the energy, the calculation gives -125.741 eV/cell. As for the total magnetization: 7.99 Bohr magnetons per cell.



(14)
First-principles (PBE) data for a geometry-optimized Ga3NiS6 structure, as listed in OQMD.

It has space group P-31c (No. 163), with a = 6.0946 Å, b = 6.0946 Å, c = 11.2052 Å, α = 90.00°, β = 90.00° and γ = 120.00°. The distinct sites, in fractional coordinates, are Ga at (0.0000, 0.0000, 0.0000), Ga at (0.3333, 0.6667, 0.0261), Ni at (0.3333, 0.6667, 0.7500) and S at (0.0311, 0.3516, 0.8773).

For the energy, the calculation gives -85.813 eV/cell. As for the total magnetization: 2.00 Bohr magnetons per cell.



(15)
First-principles (PBE) data for a geometry-optimized GaNi2S3 structure, as listed in OQMD.

It has space group Cc (No. 9), with a = 6.377 Å, b = 10.982 Å, c = 6.308 Å, α = 90.00°, β = 109.54° and γ = 90.00°. The distinct sites, in fractional coordinates, are Ga at (0.000, 0.087, 0.000), Ni at (0.004, 0.251, 0.510), Ni at (0.017, 0.416, 0.012), S at (0.115, 0.417, 0.379), S at (0.140, 0.258, 0.878) and S at (0.144, 0.089, 0.393).

For the energy, the calculation gives -116.992 eV/cell. As for the total magnetization: 0.11 Bohr magnetons per cell.



(16)
First-principles (PBE) data for a geometry-optimized GaNi2Se2S structure, as listed in OQMD.

It has space group Cc (No. 9), with a = 6.666 Å, b = 11.357 Å, c = 6.591 Å, α = 90.00°, β = 110.30° and γ = 90.00°. The distinct sites, in fractional coordinates, are Ga at (0.000, 0.089, 0.000), Ni at (0.464, 0.072, 0.472), Ni at (0.481, 0.237, 0.994), Se at (0.344, 0.408, 0.099), Se at (0.349, 0.236, 0.618) and S at (0.372, 0.081, 0.119).

For the energy, the calculation gives -110.073 eV/cell. As for the total magnetization: 0.04 Bohr magnetons per cell.



(17)
First-principles (PBE) data for a geometry-optimized Sm3GaNiS7 structure, as listed in OQMD.

It has space group P6_3 (No. 173), with a = 9.7303 Å, b = 9.7303 Å, c = 6.2143 Å, α = 90.00°, β = 90.00° and γ = 120.00°. The distinct sites, in fractional coordinates, are Sm at (0.1557, 0.7807, 0.0000), Ga at (0.3333, 0.6667, 0.4261), Ni at (0.0000, 0.0000, 0.3214), S at (0.0878, 0.5213, 0.2739), S at (0.0974, 0.8691, 0.5868) and S at (0.3333, 0.6667, 0.7894).

For the energy, the calculation gives -138.616 eV/cell. As for the total magnetization: 4.01 Bohr magnetons per cell.



(18)
First-principles (PBE) data for a geometry-optimized TlGaNiS3 structure, as listed in OQMD.

It has space group Cmcm (No. 63), with a = 3.601 Å, b = 13.290 Å, c = 10.244 Å, α = 90.00°, β = 90.00° and γ = 90.00°. The distinct sites, in fractional coordinates, are Tl at (0.000, 0.224, 0.250), Ga at (0.000, 0.500, 0.000), Ni at (0.000, 0.096, 0.750), S at (0.000, 0.123, 0.535) and S at (0.000, 0.499, 0.750).

For the energy, the calculation gives -102.186 eV/cell. As for the total magnetization: 0.01 Bohr magnetons per cell.



(19)
First-principles (PBE) data for a geometry-optimized Ga2NiSb structure, as listed in OQMD.

It has space group F-43m (No. 216), with a = 6.626 Å, b = 6.626 Å, c = 6.626 Å, α = 90.00°, β = 90.00° and γ = 90.00°. The distinct sites, in fractional coordinates, are Ga at (0.000, 0.000, 0.000), Ga at (0.250, 0.250, 0.250), Ni at (0.250, 0.250, 0.750) and Sb at (0.000, 0.000, 0.500).

For the energy, the calculation gives -60.662 eV/cell. As for the total magnetization: 0.02 Bohr magnetons per cell.



(20)
First-principles (PBE) data for a geometry-optimized GaNiSb2 structure, as listed in OQMD.

It has space group F-43m (No. 216), with a = 6.941 Å, b = 6.941 Å, c = 6.941 Å, α = 90.00°, β = 90.00° and γ = 90.00°. The distinct sites, in fractional coordinates, are Ga at (0.000, 0.000, 0.000), Ni at (0.250, 0.250, 0.250), Sb at (0.000, 0.000, 0.500) and Sb at (0.250, 0.250, 0.750).

For the energy, the calculation gives -61.431 eV/cell. As for the total magnetization: 0.01 Bohr magnetons per cell.